YTiFe4: relaxed, PBE. Values from VASP.

Quantum ESPRESSO input file:
```
&SYSTEM
  ibrav = 0, nat = 6, ntyp = 3
/
ATOMIC_SPECIES
Y 88.91 Y.upf
Ti 47.87 Ti.upf
Fe 55.84 Fe.upf
CELL_PARAMETERS angstrom
0.0000 3.5273 3.5273
3.5273 0.0000 3.5273
3.5273 3.5273 0.0000
ATOMIC_POSITIONS crystal
Y 0.0000 0.0000 0.0000
Ti 0.7500 0.7500 0.7500
Fe 0.3756 0.3756 0.3756
Fe 0.3756 0.3756 0.8731
Fe 0.3756 0.8731 0.3756
Fe 0.8731 0.3756 0.3756
```

Values from the calculation:
DOS(E_F) = 0.642 states/eV per atom
magnetization = 6.33 μB/cell
E_form = -144 meV/atom